A plane-wave DFT calculation with meta-GGA SCAN was carried out for a PBEsol-optimized structure of NaZrCo2F.

It has space group P4/mmm (No. 123), with a = 4.2613 Å, b = 4.2613 Å, c = 4.2177 Å, α = 90.00°, β = 90.00° and γ = 90.00°. The asymmetric unit holds Na at (0.0000, 0.0000, 0.0000), Zr at (0.5000, 0.5000, 0.0000), Co at (0.0000, 0.5000, 0.5000) and F at (0.5000, 0.5000, 0.5000).

Its total DFT energy (no corrections) is -14.51 eV/atom. The formation energy (no corrections) comes out at 0.10 eV per atom.